# 1
Na2B3C: optimized geometry, PBE.

Summary:
Spin magnetization: 0.0 μB per cell
Energy relative to the elements: 170 meV per atom
Energy: -5.146 eV per atom
Density of states at the Fermi level: 0.082 states/eV per atom

abc: 7.7745 7.7745 8.6247
angles: 90.00 90.00 142.47
Positions (direct):
1 Na 0.1989 0.7992 0.0008
2 Na 0.1989 0.7992 0.4992
3 Na 0.3992 0.5989 0.0008
4 Na 0.3992 0.5989 0.4992
5 Na 0.0012 0.0010 0.0010
6 Na 0.0012 0.0010 0.4990
7 Na 0.6010 0.4012 0.0010
8 Na 0.6010 0.4012 0.4990
9 Na 0.7972 0.1972 0.9995
10 Na 0.7972 0.1972 0.5005
11 B 0.1182 0.5182 0.7500
12 B 0.1375 0.5375 0.2500
13 B 0.4692 0.8692 0.7500
14 B 0.6826 0.6801 0.2500
15 B 0.2977 0.3128 0.2500
16 B 0.6661 0.6540 0.7500
17 B 0.2801 0.0826 0.2500
18 B 0.9128 0.6977 0.2500
19 B 0.2540 0.0661 0.7500
20 B 0.5293 0.1313 0.7500
21 B 0.5418 0.1304 0.2500
22 B 0.8704 0.4877 0.7500
23 B 0.7313 0.9293 0.7500
24 B 0.7304 0.9418 0.2500
25 B 0.0877 0.2704 0.7500
26 C 0.4734 0.8734 0.2500
27 C 0.3398 0.3360 0.7500
28 C 0.9360 0.7398 0.7500
29 C 0.8783 0.4684 0.2500
30 C 0.0684 0.2783 0.2500

# 2
NaBC: optimized geometry, PBE.

Summary:
Spin magnetization: 0.0 μB per cell
Energy relative to the elements: 102 meV per atom
Energy: -5.638 eV per atom
Density of states at the Fermi level: 0.000 states/eV per atom

abc: 5.3610 5.2931 2.8434
angles: 90.00 88.95 90.00
Positions (direct):
1 Na 0.6452 0.0000 0.4300
2 Na 0.1451 0.5000 0.8685
3 C 0.1448 0.0000 0.7252
4 C 0.6449 0.5000 0.2534
5 B 0.1457 0.0000 0.2247
6 B 0.6455 0.5000 0.7539